{
  "formula": "Cs2LiReH",
  "functional": "PBE",
  "state": "relaxed",
  "final_energy_ev_per_atom": -2.825,
  "magmom_total_mub_per_atom": 0.4811,
  "lattice_angstrom": [[6.8430, 0.0000, 0.0000], [0.0000, 3.6265, 0.0000], [0.0000, 0.0000, 6.8430]],
  "species": ["Li", "Cs", "Cs", "H", "Re"],
  "fractional_positions": [[0.5000, 0.5000, 0.5000], [0.0000, 0.0000, 0.5000], [0.5000, 0.0000, 0.0000], [0.0000, 0.0000, 0.0000], [0.0000, 0.5000, 0.0000]]
}

---

{
  "formula": "Cs2LiH6Rh",
  "functional": "PBE",
  "state": "relaxed",
  "final_energy_ev_per_atom": -3.510,
  "magmom_total_mub_per_atom": 0.0129,
  "lattice_angstrom": [[4.9353, 0.0000, 0.0000], [0.0000, 6.2478, 0.0000], [0.0000, -3.1239, 5.4108]],
  "species": ["H", "H", "H", "H", "H", "H", "Rh", "Cs", "Cs", "Li"],
  "fractional_positions": [[0.8016, 0.1269, 0.2538], [0.1984, 0.2538, 0.1269], [0.1984, 0.8731, 0.1269], [0.8016, 0.1269, 0.8731], [0.1984, 0.8731, 0.7462], [0.8016, 0.7462, 0.8731], [0.0000, 0.0000, 0.0000], [0.2617, 0.3333, 0.6667], [0.7383, 0.6667, 0.3333], [0.5000, 0.0000, 0.0000]]
}

---

{
  "formula": "Cs2LiH6Ru",
  "functional": "PBE",
  "state": "relaxed",
  "final_energy_ev_per_atom": -3.518,
  "magmom_total_mub_per_atom": 0.1000,
  "lattice_angstrom": [[5.0276, 0.0000, 0.0000], [0.0000, 6.2795, 0.0000], [0.0000, -3.1397, 5.4382]],
  "species": ["H", "H", "H", "H", "H", "H", "Li", "Ru", "Cs", "Cs"],
  "fractional_positions": [[0.7932, 0.7443, 0.8721], [0.2068, 0.2557, 0.1279], [0.7932, 0.1279, 0.2557], [0.2068, 0.8721, 0.7443], [0.2068, 0.8721, 0.1279], [0.7932, 0.1279, 0.8721], [0.5000, 0.0000, 0.0000], [0.0000, 0.0000, 0.0000], [0.2599, 0.3333, 0.6667], [0.7401, 0.6667, 0.3333]]
}

---

Which formula does entry 3 have?
Cs2LiH6Ru